# 1
{"formula": "ScInSe", "functional": "PBE", "state": "optimized geometry", "raw_formation_energy_ev_per_atom": -0.7817, "m_tot_mub_per_atom": 0.00, "lattice_angstrom": [[2.267, 1.309, 8.548], [-2.267, 1.309, 8.548], [0.000, -2.618, 8.548]], "species": ["Sc", "Sc", "In", "In", "Se", "Se"], "frac_coords": [[0.098, 0.098, 0.098], [0.902, 0.902, 0.902], [0.355, 0.355, 0.355], [0.645, 0.645, 0.645], [0.208, 0.208, 0.208], [0.792, 0.792, 0.792]]}

***

# 2
{"formula": "ScIn2Se", "functional": "PBE", "state": "optimized geometry", "raw_formation_energy_ev_per_atom": -0.2549, "m_tot_mub_per_atom": 0.00, "lattice_angstrom": [[0.000, 3.600, 3.600], [3.600, 0.000, 3.600], [3.600, 3.600, 0.000]], "species": ["Sc", "In", "In", "Se"], "frac_coords": [[0.000, 0.000, 0.000], [0.500, 0.500, 0.500], [0.750, 0.750, 0.750], [0.250, 0.250, 0.250]]}

***

# 3
{"formula": "ScInSe4", "functional": "PBE", "state": "optimized geometry", "raw_formation_energy_ev_per_atom": -0.7408, "m_tot_mub_per_atom": 0.00, "lattice_angstrom": [[6.800, -3.851, 0.000], [6.800, 3.851, 0.000], [-1.436, 0.000, 6.410]], "species": ["Sc", "Sc", "In", "In", "Se", "Se", "Se", "Se", "Se", "Se", "Se", "Se"], "frac_coords": [[0.183, 0.817, 0.750], [0.817, 0.183, 0.250], [0.000, 0.500, 0.000], [0.500, 0.000, 0.500], [0.064, 0.784, 0.317], [0.216, 0.936, 0.183], [0.224, 0.461, 0.741], [0.461, 0.224, 0.241], [0.539, 0.776, 0.759], [0.776, 0.539, 0.259], [0.784, 0.064, 0.817], [0.936, 0.216, 0.683]]}

***

# 4
{"formula": "ScInSe4", "functional": "PBE", "state": "optimized geometry", "raw_formation_energy_ev_per_atom": 0.1292, "m_tot_mub_per_atom": 0.02, "lattice_angstrom": [[0.000, 4.109, 4.109], [4.109, 0.000, 4.109], [4.109, 4.109, 0.000]], "species": ["Sc", "In", "Se", "Se", "Se", "Se"], "frac_coords": [[0.000, 0.000, 0.000], [0.250, 0.250, 0.250], [0.123, 0.626, 0.626], [0.626, 0.123, 0.626], [0.626, 0.626, 0.123], [0.626, 0.626, 0.626]]}

***

# 5
{"formula": "ScInSe", "functional": "PBE", "state": "optimized geometry", "raw_formation_energy_ev_per_atom": -0.3665, "m_tot_mub_per_atom": 0.00, "lattice_angstrom": [[0.000, 3.380, 3.380], [3.380, 0.000, 3.380], [3.380, 3.380, 0.000]], "species": ["Sc", "In", "Se"], "frac_coords": [[0.000, 0.000, 0.000], [0.500, 0.500, 0.500], [0.750, 0.750, 0.750]]}

***

# 6
{"formula": "ScInSe", "functional": "PBE", "state": "optimized geometry", "raw_formation_energy_ev_per_atom": -0.3049, "m_tot_mub_per_atom": 0.00, "lattice_angstrom": [[0.000, 3.402, 3.402], [3.402, 0.000, 3.402], [3.402, 3.402, 0.000]], "species": ["Sc", "In", "Se"], "frac_coords": [[0.000, 0.000, 0.000], [0.750, 0.750, 0.750], [0.250, 0.250, 0.250]]}

***

# 7
{"formula": "ScIn2Se", "functional": "PBE", "state": "optimized geometry", "raw_formation_energy_ev_per_atom": -0.6242, "m_tot_mub_per_atom": 0.00, "lattice_angstrom": [[3.530, 0.000, 0.000], [0.000, 3.530, 0.000], [0.000, 0.000, 7.878]], "species": ["Sc", "In", "In", "Se"], "frac_coords": [[0.000, 0.000, 0.000], [0.000, 0.000, 0.461], [0.500, 0.500, 0.728], [0.500, 0.500, 0.138]]}

***

# 8
{"formula": "ScIn2Se", "functional": "PBE", "state": "optimized geometry", "raw_formation_energy_ev_per_atom": -0.4405, "m_tot_mub_per_atom": 0.00, "lattice_angstrom": [[4.013, 0.000, 0.000], [0.000, 6.205, 0.000], [-0.068, 0.000, 4.041]], "species": ["Sc", "In", "In", "Se"], "frac_coords": [[0.000, 0.000, 0.000], [0.248, 0.500, 0.248], [0.752, 0.500, 0.752], [0.500, 0.000, 0.500]]}

***

# 9
{"formula": "ScIn4Se2", "functional": "PBE", "state": "optimized geometry", "raw_formation_energy_ev_per_atom": 0.0739, "m_tot_mub_per_atom": 0.09, "lattice_angstrom": [[-2.893, 2.893, 7.241], [2.893, -2.893, 7.241], [2.893, 2.893, -7.241]], "species": ["Sc", "In", "In", "In", "In", "Se", "Se"], "frac_coords": [[0.000, 0.000, 0.000], [0.000, 0.500, 0.500], [0.201, 0.201, 0.000], [0.500, 0.000, 0.500], [0.799, 0.799, 0.000], [0.379, 0.379, 0.000], [0.621, 0.621, 0.000]]}

***

# 10
{"formula": "ScIn2Se", "functional": "PBE", "state": "optimized geometry", "raw_formation_energy_ev_per_atom": -0.3748, "m_tot_mub_per_atom": 0.00, "lattice_angstrom": [[-2.243, 2.243, 4.564], [2.243, -2.243, 4.564], [2.243, 2.243, -4.564]], "species": ["Sc", "In", "In", "Se"], "frac_coords": [[0.000, 0.000, 0.000], [0.500, 0.500, 0.000], [0.750, 0.250, 0.500], [0.250, 0.750, 0.500]]}

***

# 11
{"formula": "ScInSe3", "functional": "PBE", "state": "optimized geometry", "raw_formation_energy_ev_per_atom": -1.0569, "m_tot_mub_per_atom": 0.00, "lattice_angstrom": [[1.958, -10.149, 0.000], [1.958, 10.149, 0.000], [0.000, 0.000, 6.945]], "species": ["Sc", "Sc", "In", "In", "Se", "Se", "Se", "Se", "Se", "Se"], "frac_coords": [[0.171, 0.829, 0.500], [0.829, 0.171, 0.000], [0.357, 0.643, 0.516], [0.643, 0.357, 0.016], [0.092, 0.908, 0.812], [0.245, 0.755, 0.157], [0.406, 0.594, 0.865], [0.594, 0.406, 0.365], [0.755, 0.245, 0.657], [0.908, 0.092, 0.312]]}

***

# 12
{"formula": "ScIn2Se", "functional": "PBE", "state": "optimized geometry", "raw_formation_energy_ev_per_atom": -0.4752, "m_tot_mub_per_atom": 0.00, "lattice_angstrom": [[-2.040, 2.064, 5.534], [2.040, -2.064, 5.534], [2.040, 2.064, -5.534]], "species": ["Sc", "In", "In", "Se"], "frac_coords": [[0.000, 0.000, 0.000], [0.258, 0.758, 0.500], [0.742, 0.242, 0.500], [0.500, 0.500, 0.000]]}

***

# 13
{"formula": "ScIn2Se2", "functional": "PBE", "state": "optimized geometry", "raw_formation_energy_ev_per_atom": -0.6299, "m_tot_mub_per_atom": 0.00, "lattice_angstrom": [[7.214, 0.000, 0.000], [0.000, 7.214, 0.000], [0.000, 0.000, 4.939]], "species": ["Sc", "Sc", "In", "In", "In", "In", "Se", "Se", "Se", "Se"], "frac_coords": [[0.000, 0.000, 0.000], [0.500, 0.500, 0.000], [0.155, 0.345, 0.500], [0.345, 0.845, 0.500], [0.655, 0.155, 0.500], [0.845, 0.655, 0.500], [0.177, 0.677, 0.000], [0.323, 0.177, 0.000], [0.677, 0.823, 0.000], [0.823, 0.323, 0.000]]}

***

# 14
{"formula": "ScInSe3", "functional": "PBE", "state": "optimized geometry", "raw_formation_energy_ev_per_atom": -0.6000, "m_tot_mub_per_atom": 0.00, "lattice_angstrom": [[5.226, 0.000, 0.000], [0.000, 5.226, 0.000], [0.000, 0.000, 5.226]], "species": ["Sc", "In", "Se", "Se", "Se"], "frac_coords": [[0.000, 0.000, 0.000], [0.500, 0.500, 0.500], [0.000, 0.000, 0.500], [0.000, 0.500, 0.000], [0.500, 0.000, 0.000]]}

***

# 15
{"formula": "Sc4InSe6", "functional": "PBE", "state": "optimized geometry", "raw_formation_energy_ev_per_atom": -1.4599, "m_tot_mub_per_atom": 0.00, "lattice_angstrom": [[1.955, -6.502, 0.000], [1.955, 6.502, 0.000], [0.000, 0.000, 20.457]], "species": ["Sc", "Sc", "Sc", "Sc", "Sc", "Sc", "Sc", "Sc", "In", "In", "Se", "Se", "Se", "Se", "Se", "Se", "Se", "Se", "Se", "Se", "Se", "Se"], "frac_coords": [[0.089, 0.911, 0.629], [0.089, 0.911, 0.871], [0.365, 0.635, 0.540], [0.365, 0.635, 0.960], [0.635, 0.365, 0.040], [0.635, 0.365, 0.460], [0.911, 0.089, 0.129], [0.911, 0.089, 0.371], [0.174, 0.826, 0.250], [0.826, 0.174, 0.750], [0.000, 0.000, 0.000], [0.000, 0.000, 0.500], [0.153, 0.847, 0.750], [0.273, 0.727, 0.083], [0.273, 0.727, 0.417], [0.456, 0.544, 0.655], [0.456, 0.544, 0.845], [0.544, 0.456, 0.155], [0.544, 0.456, 0.345], [0.727, 0.273, 0.583], [0.727, 0.273, 0.917], [0.847, 0.153, 0.250]]}

***

# 16
{"formula": "Sc3InSe", "functional": "PBE", "state": "optimized geometry", "raw_formation_energy_ev_per_atom": 0.2652, "m_tot_mub_per_atom": 0.00, "lattice_angstrom": [[5.312, 0.000, 0.000], [0.000, 5.312, 0.000], [0.000, 0.000, 5.312]], "species": ["Sc", "Sc", "Sc", "In", "Se"], "frac_coords": [[0.000, 0.000, 0.500], [0.000, 0.500, 0.000], [0.500, 0.000, 0.000], [0.000, 0.000, 0.000], [0.500, 0.500, 0.500]]}

***

# 17
{"formula": "Sr2ScInSe5", "functional": "PBE", "state": "optimized geometry", "raw_formation_energy_ev_per_atom": -1.5333, "m_tot_mub_per_atom": 0.00, "lattice_angstrom": [[2.067, -9.136, 0.000], [2.067, 9.136, 0.000], [0.000, 0.000, 13.051]], "species": ["Sr", "Sr", "Sr", "Sr", "Sc", "Sc", "In", "In", "Se", "Se", "Se", "Se", "Se", "Se", "Se", "Se", "Se", "Se"], "frac_coords": [[0.116, 0.884, 0.500], [0.135, 0.865, 0.135], [0.865, 0.135, 0.635], [0.884, 0.116, 0.000], [0.215, 0.785, 0.844], [0.785, 0.215, 0.344], [0.447, 0.553, 0.264], [0.553, 0.447, 0.764], [0.055, 0.945, 0.885], [0.286, 0.714, 0.481], [0.307, 0.693, 0.197], [0.358, 0.642, 0.822], [0.495, 0.505, 0.588], [0.505, 0.495, 0.088], [0.642, 0.358, 0.322], [0.693, 0.307, 0.697], [0.714, 0.286, 0.981], [0.945, 0.055, 0.385]]}

***

# 18
{"formula": "Tb3ScIn3Se8", "functional": "PBE", "state": "optimized geometry", "raw_formation_energy_ev_per_atom": -1.3236, "m_tot_mub_per_atom": 0.00, "lattice_angstrom": [[4.101, 2.368, 7.455], [-4.101, 2.368, 7.455], [0.000, -4.735, 7.455]], "species": ["Tb", "Tb", "Tb", "Sc", "In", "In", "In", "Se", "Se", "Se", "Se", "Se", "Se", "Se", "Se"], "frac_coords": [[0.000, 0.500, 0.500], [0.500, 0.000, 0.500], [0.500, 0.500, 0.000], [0.000, 0.000, 0.000], [0.000, 0.000, 0.500], [0.000, 0.500, 0.000], [0.500, 0.000, 0.000], [0.230, 0.230, 0.751], [0.230, 0.751, 0.230], [0.249, 0.770, 0.770], [0.260, 0.260, 0.260], [0.740, 0.740, 0.740], [0.751, 0.230, 0.230], [0.770, 0.249, 0.770], [0.770, 0.770, 0.249]]}

***

# 19
{"formula": "TbSc2In3Se6", "functional": "PBE", "state": "optimized geometry", "raw_formation_energy_ev_per_atom": -1.2190, "m_tot_mub_per_atom": 0.00, "lattice_angstrom": [[3.480, -6.016, 0.000], [3.480, 6.016, 0.000], [-2.313, 0.000, 7.688]], "species": ["Tb", "Sc", "Sc", "In", "In", "In", "Se", "Se", "Se", "Se", "Se", "Se"], "frac_coords": [[0.000, 0.000, 0.000], [0.333, 0.667, 0.000], [0.667, 0.333, 0.000], [0.162, 0.838, 0.500], [0.500, 0.500, 0.500], [0.838, 0.162, 0.500], [0.068, 0.415, 0.205], [0.281, 0.281, 0.800], [0.415, 0.068, 0.205], [0.585, 0.932, 0.795], [0.719, 0.719, 0.200], [0.932, 0.585, 0.795]]}

***

# 20
{"formula": "Tb2ScIn3Se6", "functional": "PBE", "state": "optimized geometry", "raw_formation_energy_ev_per_atom": -1.2584, "m_tot_mub_per_atom": 0.00, "lattice_angstrom": [[3.546, -6.133, 0.000], [3.546, 6.133, 0.000], [-2.357, 0.000, 7.710]], "species": ["Tb", "Tb", "Sc", "In", "In", "In", "Se", "Se", "Se", "Se", "Se", "Se"], "frac_coords": [[0.166, 0.834, 0.000], [0.834, 0.166, 0.000], [0.500, 0.500, 0.000], [0.000, 0.000, 0.500], [0.330, 0.670, 0.500], [0.670, 0.330, 0.500], [0.112, 0.432, 0.795], [0.249, 0.249, 0.209], [0.432, 0.112, 0.795], [0.568, 0.888, 0.205], [0.751, 0.751, 0.791], [0.888, 0.568, 0.205]]}

***

# 21
{"formula": "ScInTeSe", "functional": "PBE", "state": "optimized geometry", "raw_formation_energy_ev_per_atom": -1.0030, "m_tot_mub_per_atom": 0.00, "lattice_angstrom": [[3.512, -2.028, 0.000], [3.512, 2.028, 0.000], [-2.337, 0.000, 8.024]], "species": ["Sc", "In", "Te", "Se"], "frac_coords": [[0.000, 0.000, 0.000], [0.173, 0.173, 0.521], [0.408, 0.408, 0.226], [0.609, 0.609, 0.826]]}

***

# 22
{"formula": "Sc3TiIn3Se8", "functional": "PBE", "state": "optimized geometry", "raw_formation_energy_ev_per_atom": -1.1697, "m_tot_mub_per_atom": 0.00, "lattice_angstrom": [[3.852, 2.224, 7.638], [-3.852, 2.224, 7.638], [0.000, -4.447, 7.638]], "species": ["Sc", "Sc", "Sc", "Ti", "In", "In", "In", "Se", "Se", "Se", "Se", "Se", "Se", "Se", "Se"], "frac_coords": [[0.000, 0.500, 0.500], [0.500, 0.000, 0.500], [0.500, 0.500, 0.000], [0.000, 0.000, 0.000], [0.000, 0.000, 0.500], [0.000, 0.500, 0.000], [0.500, 0.000, 0.000], [0.226, 0.226, 0.746], [0.226, 0.746, 0.226], [0.254, 0.774, 0.774], [0.266, 0.266, 0.266], [0.734, 0.734, 0.734], [0.746, 0.226, 0.226], [0.774, 0.254, 0.774], [0.774, 0.774, 0.254]]}

***

# 23
{"formula": "Sc2Tl2InSe6", "functional": "PBE", "state": "optimized geometry", "raw_formation_energy_ev_per_atom": -0.9847, "m_tot_mub_per_atom": 0.00, "lattice_angstrom": [[3.431, -6.033, 0.000], [3.431, 6.033, 0.000], [-2.388, 0.000, 7.458]], "species": ["Sc", "Sc", "Tl", "Tl", "In", "Se", "Se", "Se", "Se", "Se", "Se"], "frac_coords": [[0.173, 0.827, 0.000], [0.827, 0.173, 0.000], [0.336, 0.664, 0.500], [0.664, 0.336, 0.500], [0.500, 0.500, 0.000], [0.086, 0.428, 0.793], [0.230, 0.230, 0.194], [0.428, 0.086, 0.793], [0.572, 0.914, 0.207], [0.770, 0.770, 0.806], [0.914, 0.572, 0.207]]}

***

# 24
{"formula": "ScIn2Si", "functional": "PBE", "state": "optimized geometry", "raw_formation_energy_ev_per_atom": -0.0803, "m_tot_mub_per_atom": 0.00, "lattice_angstrom": [[3.233, 0.000, 0.000], [0.000, 3.233, 0.000], [0.000, 0.000, 8.601]], "species": ["Sc", "In", "In", "Si"], "frac_coords": [[0.000, 0.000, 0.000], [0.000, 0.000, 0.434], [0.500, 0.500, 0.740], [0.500, 0.500, 0.187]]}